This record from Alexandria describes crystalline LuTlRhAu at its relaxed geometry. The functional is PBE.

Cell lengths 4.8197, 4.8197, 4.8197 Å; angles 60.00, 60.00, 60.00 degrees
With the nearest neighbours (Å) after each atom.
Fractional coordinates of all 4 atoms:
Lu (0.0000, 0.0000, 0.0000)  4 Rh 2.95, 4 Au 2.95
Tl (0.5000, 0.5000, 0.5000)  4 Au 2.95, 4 Rh 2.95
Rh (0.2500, 0.2500, 0.2500)  4 Tl 2.95, 4 Lu 2.95
Au (0.7500, 0.7500, 0.7500)  4 Tl 2.95, 4 Lu 2.95

Computed properties:
Calculated density = 14.2 g cm⁻³
Symmetry = F-43m (216)
Final energy = -19.3 eV per cell
Total magnetization = 0.0 μB per formula unit
DOS at the Fermi energy = 0.646 states/eV per atom
Crystal system = cubic